LaNdIr2 | GGA-PBE | relaxed

Computed properties:
V, Å³ per cell: 91
Space-group type: P4/mmm
Energy above the lowest structure with this stoichiometry, meV per atom: 92
Fermi-level density of states, states/eV/atom: 0.4721
Electronic total energy, eV per atom: -7.41
M_tot, Bohr magnetons per cell: 0.00
Formation enthalpy at 0 K, eV per atom: -0.56

Cell: 3.6836 4.9691 4.9691 Å, 90.00 90.00 90.00°
With the nearest neighbours (Å) after each atom.
Atoms (fractional coordinates):
La1 0.5000 0.0000 0.0000  8 Ir 3.09
Nd1 0.5000 0.5000 0.5000  8 Ir 3.09
Ir1 0.0000 0.0000 0.5000  4 La 3.09, 4 Nd 3.09
Ir2 0.0000 0.5000 0.0000  4 Nd 3.09, 4 La 3.09